(1)
The following is a DFT calculation (PBE-GGA) of a relaxed structure of Pm8Nd3Tm3.

crystal system: orthorhombic
calculated total energy: -64.3 eV/cell
Fermi-level density of states: 20.39 states/eV/f.u.
calculated density: 7.3 g cm⁻³
formation energy: 10 kJ/mol of atoms

a b c (Å): 9.8046 9.8046 9.8046
angles (deg): 146.01 112.51 77.76
Atoms (fractional coordinates):
1 Pm 0.0596 0.3974 0.6621
2 Pm 0.0613 0.2210 0.8403
3 Pm 0.2647 0.6026 0.6621
4 Pm 0.3807 0.2210 0.1597
5 Pm 0.6193 0.7790 0.8403
6 Pm 0.7353 0.3974 0.3379
7 Pm 0.9387 0.7790 0.1597
8 Pm 0.9404 0.6026 0.3379
9 Nd 0.3196 0.8196 0.5000
10 Nd 0.5000 0.5000 0.0000
11 Nd 0.6804 0.1804 0.5000
12 Tm 0.0000 0.0000 0.0000
13 Tm 0.2991 0.0000 0.2991
14 Tm 0.7009 0.0000 0.7009


(2)
The following is a DFT calculation (PBE-GGA) of a relaxed structure of Pm4Nd19Tm6.

crystal system: cubic
calculated total energy: -125.8 eV/cell
Fermi-level density of states: 42.91 states/eV/f.u.
calculated density: 7.0 g cm⁻³
formation energy: 35 kJ/mol of atoms

a b c (Å): 11.0227 11.0227 11.0227
angles (deg): 109.47 109.47 109.47
Atoms (fractional coordinates):
1 Pm 0.0000 0.0000 0.3628
2 Pm 0.0000 0.3628 0.0000
3 Pm 0.3628 0.0000 0.0000
4 Pm 0.6372 0.6372 0.6372
5 Nd 0.0000 0.0000 0.0000
6 Nd 0.0000 0.2621 0.2621
7 Nd 0.0000 0.7379 0.7379
8 Nd 0.0157 0.2198 0.6745
9 Nd 0.2042 0.9843 0.6588
10 Nd 0.2198 0.6745 0.0157
11 Nd 0.2621 0.0000 0.2621
12 Nd 0.2621 0.2621 0.0000
13 Nd 0.3255 0.5454 0.3412
14 Nd 0.3412 0.3255 0.5454
15 Nd 0.4546 0.7802 0.7958
16 Nd 0.5454 0.3412 0.3255
17 Nd 0.6588 0.2042 0.9843
18 Nd 0.6745 0.0157 0.2198
19 Nd 0.7379 0.0000 0.7379
20 Nd 0.7379 0.7379 0.0000
21 Nd 0.7802 0.7958 0.4546
22 Nd 0.7958 0.4546 0.7802
23 Nd 0.9843 0.6588 0.2042
24 Tm 0.1238 0.5000 0.6238
25 Tm 0.3762 0.8762 0.5000
26 Tm 0.5000 0.3762 0.8762
27 Tm 0.5000 0.6238 0.1238
28 Tm 0.6238 0.1238 0.5000
29 Tm 0.8762 0.5000 0.3762